Computed, not measured: Ac8Pd2Rh after structural relaxation at the PBE level of DFT.

Calculated values
DFT total energy   -0.3701 Ry per atom
Formation energy from the elements   -0.4352 eV per atom

Cell: 4.210 9.715 10.245 Å, 93.84 101.86 90.00°
Sites, in units of the cell vectors:
Ac 0.652 0.973 0.304
Ac 0.223 0.330 0.446
Ac 0.988 0.791 0.977
Ac 0.777 0.670 0.554
Rh 0.500 0.000 0.000
Ac 0.596 0.537 0.192
Pd 0.835 0.262 0.669
Ac 0.012 0.209 0.023
Pd 0.165 0.738 0.331
Ac 0.404 0.463 0.808
Ac 0.348 0.027 0.696



Computed, not measured: Ac2PdRh after structural relaxation at the PBE level of DFT.

Calculated values
DFT total energy   -0.4294 Ry per atom
Formation energy from the elements   -0.6518 eV per atom

Cell: 4.285 4.285 7.834 Å, 74.13 74.13 60.00°
Sites, in units of the cell vectors:
Ac 0.077 0.077 0.770
Rh 0.666 0.666 0.003
Pd 0.502 0.502 0.495
Ac 0.256 0.256 0.231